A plane-wave DFT calculation with GGA-PBE was carried out for a geometry-optimized HfMg2MoS structure.

Computed properties:
- uncorrected energy (eV per atom) = -5.261
- crystal system = tetragonal
- uncorrected formation energy (eV/atom) = 0.359

Cell lengths 4.584, 4.584, 4.874 Å; angles 90.00, 90.00, 90.00 degrees
Positions (direct):
Hf (0.000, 0.000, 0.000)
Mg (0.000, 0.500, 0.500)
Mg (0.500, 0.000, 0.500)
Mo (0.500, 0.500, 0.000)
S (0.000, 0.000, 0.500)